Version a
ErTlIn: relaxed, GGA-PBE.

**Total moment**: 0.00 μB per formula unit
**Mass density**: 10.38 g/cm3

a b c (Å): 7.532 7.532 4.683
angles (deg): 90.00 90.00 144.13
Element x y z (fractional)
Er 0.844 0.156 0.000
Er 0.156 0.844 0.000
In 0.680 0.320 0.500
In 0.320 0.680 0.500
Tl 0.500 0.500 0.000
Tl 0.000 0.000 0.500

Version b
ErTlIn: relaxed, GGA-PBE.

**Total moment**: 0.00 μB per formula unit
**Mass density**: 10.42 g/cm3

a b c (Å): 7.616 7.616 4.602
angles (deg): 90.00 90.00 144.51
Element x y z (fractional)
Er 0.846 0.154 0.000
Er 0.154 0.846 0.000
In 0.500 0.500 0.000
In 0.000 0.000 0.500
Tl 0.673 0.327 0.500
Tl 0.327 0.673 0.500

Quick one: most stable of them? version a

Version a
ErTmIn: relaxed, GGA-PBE.

**Total moment**: 0.08 μB per formula unit
**Mass density**: 9.18 g/cm3

a b c (Å): 5.323 5.323 6.648
angles (deg): 90.00 90.00 120.00
Element x y z (fractional)
Er 0.667 0.333 0.250
Er 0.333 0.667 0.750
In 0.333 0.667 0.250
In 0.667 0.333 0.750
Tm 0.000 0.000 0.000
Tm 0.000 0.000 0.500

Version b
ErTmIn: relaxed, GGA-PBE.

**Total moment**: 0.02 μB per formula unit
**Mass density**: 7.90 g/cm3

a b c (Å): 5.118 5.118 5.118
angles (deg): 60.00 60.00 60.00
Element x y z (fractional)
Er 0.250 0.250 0.250
In 0.000 0.000 0.000
Tm 0.750 0.750 0.750

Quick one: most stable of them? version a

Version a
ErLuIr: relaxed, GGA-PBE.

**Total moment**: 0.00 μB per formula unit
**Mass density**: 12.47 g/cm3

a b c (Å): 4.652 4.652 4.652
angles (deg): 60.00 60.00 60.00
Element x y z (fractional)
Er 0.250 0.250 0.250
Ir 0.750 0.750 0.750
Lu 0.000 0.000 0.000

Version b
ErLuIr: relaxed, GGA-PBE.

**Total moment**: 0.00 μB per formula unit
**Mass density**: 12.76 g/cm3

a b c (Å): 7.145 4.489 8.670
angles (deg): 90.00 90.00 90.00
Element x y z (fractional)
Er 0.510 0.750 0.164
Er 0.010 0.750 0.336
Er 0.990 0.250 0.664
Er 0.490 0.250 0.836
Ir 0.254 0.250 0.096
Ir 0.754 0.250 0.404
Ir 0.246 0.750 0.596
Ir 0.746 0.750 0.904
Lu 0.858 0.250 0.078
Lu 0.358 0.250 0.422
Lu 0.642 0.750 0.578
Lu 0.142 0.750 0.922

Version c
ErLuIr: relaxed, GGA-PBE.

**Total moment**: 0.00 μB per formula unit
**Mass density**: 12.73 g/cm3

a b c (Å): 7.124 4.525 8.647
angles (deg): 90.00 90.00 90.00
Element x y z (fractional)
Er 0.143 0.750 0.080
Er 0.643 0.750 0.420
Er 0.357 0.250 0.580
Er 0.857 0.250 0.920
Ir 0.742 0.750 0.095
Ir 0.242 0.750 0.405
Ir 0.758 0.250 0.595
Ir 0.258 0.250 0.905
Lu 0.490 0.250 0.162
Lu 0.990 0.250 0.338
Lu 0.010 0.750 0.662
Lu 0.510 0.750 0.838

Quick one: most stable of them? version b

Version a
Er4Lu3Te2Ir2: relaxed, GGA-PBE.

**Total moment**: 0.01 μB per formula unit
**Mass density**: 10.75 g/cm3

a b c (Å): 9.268 9.268 9.268
angles (deg): 155.71 66.32 119.35
Element x y z (fractional)
Er 0.560 0.414 0.146
Er 0.633 0.265 0.368
Er 0.897 0.265 0.632
Er 0.267 0.414 0.854
Ir 0.016 0.754 0.263
Ir 0.491 0.754 0.737
Lu 0.239 0.055 0.185
Lu 0.183 0.683 0.500
Lu 0.870 0.055 0.815
Te 0.919 0.919 0.000
Te 0.519 0.019 0.500

Version b
Er4Lu3Te2Ir2: relaxed, GGA-PBE.

**Total moment**: 0.01 μB per formula unit
**Mass density**: 10.72 g/cm3

a b c (Å): 9.276 9.276 9.276
angles (deg): 155.72 66.38 119.28
Element x y z (fractional)
Er 0.560 0.414 0.146
Er 0.238 0.054 0.184
Er 0.869 0.054 0.816
Er 0.268 0.414 0.854
Ir 0.015 0.754 0.261
Ir 0.493 0.754 0.739
Lu 0.633 0.265 0.368
Lu 0.183 0.683 0.500
Lu 0.897 0.265 0.632
Te 0.917 0.917 0.000
Te 0.521 0.021 0.500

Quick one: most stable of them? version a

Version a
NaErIr: relaxed, GGA-PBE.

**Total moment**: 0.00 μB per formula unit
**Mass density**: 8.84 g/cm3

a b c (Å): 4.667 4.667 4.667
angles (deg): 60.00 60.00 60.00
Element x y z (fractional)
Er 0.750 0.750 0.750
Ir 0.000 0.000 0.000
Na 0.250 0.250 0.250

Version b
NaErIr: relaxed, GGA-PBE.

**Total moment**: 0.01 μB per formula unit
**Mass density**: 8.89 g/cm3

a b c (Å): 4.658 4.658 4.658
angles (deg): 60.00 60.00 60.00
Element x y z (fractional)
Er 0.000 0.000 0.000
Ir 0.250 0.250 0.250
Na 0.750 0.750 0.750

Quick one: most stable of them? version a

Version a
Er2Ir2O5: relaxed, GGA-PBE.

**Total moment**: 0.56 μB per formula unit
**Mass density**: 11.30 g/cm3

a b c (Å): 9.115 3.590 3.590
angles (deg): 90.00 90.00 90.00
Last column: magnetic moment on the atom in μB.
Element x y z (fractional)
Er 0.265 0.500 0.500  0.01
Er 0.735 0.500 0.500  0.01
Ir 0.000 0.000 0.000  0.30
Ir 0.500 0.000 0.000  0.12
O 0.129 0.500 0.000  0.04
O 0.871 0.500 0.000  0.04
O 0.129 0.000 0.500  0.00
O 0.871 0.000 0.500  0.00
O 0.500 0.500 0.500  0.00

Version b
Er2Ir2O5: relaxed, GGA-PBE.

**Total moment**: 0.00 μB per formula unit
**Mass density**: 12.53 g/cm3

a b c (Å): 6.972 3.896 3.896
angles (deg): 90.00 90.00 90.00
Element x y z (fractional)
Er 0.000 0.000 0.000
Er 0.500 0.000 0.000
Ir 0.191 0.500 0.500
Ir 0.809 0.500 0.500
O 0.251 0.500 0.000
O 0.749 0.500 0.000
O 0.251 0.000 0.500
O 0.749 0.000 0.500
O 0.500 0.500 0.500

Quick one: most stable of them? version b

Version a
Er3Sc3Te2Ir: relaxed, GGA-PBE.

**Total moment**: 0.10 μB per formula unit
**Mass density**: 8.25 g/cm3

a b c (Å): 8.102 8.102 3.837
angles (deg): 90.00 90.00 120.00
Element x y z (fractional)
Er 0.752 0.000 0.500
Er 0.248 0.248 0.500
Er 0.000 0.752 0.500
Ir 0.000 0.000 0.000
Sc 0.392 0.000 0.000
Sc 0.000 0.392 0.000
Sc 0.608 0.608 0.000
Te 0.667 0.333 0.500
Te 0.333 0.667 0.500

Version b
Er3Sc3Te2Ir: relaxed, GGA-PBE.

**Total moment**: 0.41 μB per formula unit
**Mass density**: 8.37 g/cm3

a b c (Å): 7.942 7.942 3.936
angles (deg): 90.00 90.00 120.00
Last column: magnetic moment on the atom in μB.
Element x y z (fractional)
Er 0.389 0.000 0.000  0.05
Er 0.000 0.389 0.000  0.02
Er 0.611 0.611 0.000  0.06
Ir 0.000 0.000 0.000  0.02
Sc 0.765 0.000 0.500  0.05
Sc 0.235 0.235 0.500  0.05
Sc 0.000 0.765 0.500  0.03
Te 0.667 0.333 0.500  0.00
Te 0.333 0.667 0.500  0.00

Quick one: most stable of them? version b

Version a
Er5Te3Ir: relaxed, GGA-PBE.

**Total moment**: 0.99 μB per formula unit
**Mass density**: 9.64 g/cm3

a b c (Å): 8.618 8.618 3.781
angles (deg): 90.00 90.00 120.00
Last column: magnetic moment on the atom in μB.
Element x y z (fractional)
Er 0.231 0.000 0.500  0.09
Er 0.000 0.231 0.500  0.08
Er 0.667 0.333 0.500  0.21
Er 0.333 0.667 0.500  0.20
Er 0.769 0.769 0.500  0.10
Ir 0.000 0.000 0.000  0.00
Te 0.563 0.000 0.000  -0.01
Te 0.437 0.437 0.000  -0.01
Te 0.000 0.563 0.000  -0.01

Version b
Er5Te3Ir: relaxed, GGA-PBE.

**Total moment**: 0.03 μB per formula unit
**Mass density**: 9.80 g/cm3

a b c (Å): 8.154 8.154 4.151
angles (deg): 90.00 90.00 120.00
Element x y z (fractional)
Er 0.665 0.000 0.000
Er 0.335 0.335 0.000
Er 0.000 0.665 0.000
Er 0.667 0.333 0.500
Er 0.333 0.667 0.500
Ir 0.000 0.000 0.000
Te 0.266 0.000 0.500
Te 0.000 0.266 0.500
Te 0.734 0.734 0.500

Quick one: most stable of them? version a

Version a
Er3Tm3Te2Ir: relaxed, GGA-PBE.

**Total moment**: 0.12 μB per formula unit
**Mass density**: 10.38 g/cm3

a b c (Å): 8.252 8.252 3.950
angles (deg): 90.00 90.00 120.00
Element x y z (fractional)
Er 0.393 0.000 0.000
Er 0.000 0.393 0.000
Er 0.607 0.607 0.000
Ir 0.000 0.000 0.000
Te 0.667 0.333 0.500
Te 0.333 0.667 0.500
Tm 0.759 0.000 0.500
Tm 0.241 0.241 0.500
Tm 0.000 0.759 0.500

Version b
Er3Tm3Te2Ir: relaxed, GGA-PBE.

**Total moment**: 0.12 μB per formula unit
**Mass density**: 10.35 g/cm3

a b c (Å): 8.262 8.262 3.951
angles (deg): 90.00 90.00 120.00
Element x y z (fractional)
Er 0.758 0.000 0.500
Er 0.242 0.242 0.500
Er 0.000 0.758 0.500
Ir 0.000 0.000 0.000
Te 0.667 0.333 0.500
Te 0.333 0.667 0.500
Tm 0.393 0.000 0.000
Tm 0.000 0.393 0.000
Tm 0.607 0.607 0.000

Quick one: most stable of them? version a

Version a
YErIr: relaxed, GGA-PBE.

**Total moment**: 0.01 μB per formula unit
**Mass density**: 10.28 g/cm3

a b c (Å): 7.181 4.591 8.791
angles (deg): 90.00 90.00 90.00
Element x y z (fractional)
Er 0.509 0.750 0.161
Er 0.009 0.750 0.339
Er 0.991 0.250 0.661
Er 0.491 0.250 0.839
Ir 0.262 0.250 0.093
Ir 0.762 0.250 0.407
Ir 0.238 0.750 0.593
Ir 0.738 0.750 0.907
Y 0.858 0.250 0.082
Y 0.358 0.250 0.418
Y 0.642 0.750 0.582
Y 0.142 0.750 0.918

Version b
YErIr: relaxed, GGA-PBE.

**Total moment**: 0.00 μB per formula unit
**Mass density**: 10.22 g/cm3

a b c (Å): 4.689 4.689 4.689
angles (deg): 60.00 60.00 60.00
Element x y z (fractional)
Er 0.000 0.000 0.000
Ir 0.250 0.250 0.250
Y 0.750 0.750 0.750

Version c
YErIr: relaxed, GGA-PBE.

**Total moment**: 0.02 μB per formula unit
**Mass density**: 10.35 g/cm3

a b c (Å): 7.211 4.594 8.688
angles (deg): 90.00 90.00 90.00
Element x y z (fractional)
Er 0.142 0.750 0.079
Er 0.642 0.750 0.421
Er 0.358 0.250 0.579
Er 0.858 0.250 0.921
Ir 0.748 0.750 0.094
Ir 0.248 0.750 0.406
Ir 0.752 0.250 0.594
Ir 0.252 0.250 0.906
Y 0.490 0.250 0.165
Y 0.990 0.250 0.335
Y 0.010 0.750 0.665
Y 0.510 0.750 0.835

Quick one: most stable of them? version c

Version a
K2Er2O5: relaxed, GGA-PBE.

**Total moment**: 2.00 μB per formula unit
**Mass density**: 5.11 g/cm3

a b c (Å): 8.984 4.222 4.222
angles (deg): 90.00 90.00 90.00
Last column: magnetic moment on the atom in μB.
Element x y z (fractional)
Er 0.267 0.500 0.500  -0.04
Er 0.733 0.500 0.500  -0.04
K 0.000 0.000 0.000  0.00
K 0.500 0.000 0.000  0.00
O 0.206 0.500 0.000  0.44
O 0.794 0.500 0.000  0.44
O 0.206 0.000 0.500  0.39
O 0.794 0.000 0.500  0.39
O 0.500 0.500 0.500  0.02

Version b
K2Er2O5: relaxed, GGA-PBE.

**Total moment**: 1.97 μB per formula unit
**Mass density**: 6.12 g/cm3

a b c (Å): 7.100 4.338 4.338
angles (deg): 90.00 90.00 90.00
Last column: magnetic moment on the atom in μB.
Element x y z (fractional)
Er 0.000 0.000 0.000  -0.05
Er 0.500 0.000 0.000  -0.07
K 0.185 0.500 0.500  0.10
K 0.815 0.500 0.500  0.10
O 0.203 0.500 0.000  0.44
O 0.797 0.500 0.000  0.44
O 0.203 0.000 0.500  0.15
O 0.797 0.000 0.500  0.15
O 0.500 0.500 0.500  0.46

Quick one: most stable of them? version a